No. 1
The following is a DFT calculation (PBE) of a relaxed Nd15Dy2Tl2 crystal.

Structure (CIF):
```
data_Nd15Dy2Tl2
_symmetry_space_group_name_H-M 'R -3 m'
_symmetry_Int_Tables_number 166
_symmetry_space_group_name_Hall '-R 3 2"'
_cell_length_a 11.0974
_cell_length_b 11.0974
_cell_length_c 18.1182
_cell_angle_alpha 90.00
_cell_angle_beta 90.00
_cell_angle_gamma 120.00
loop_
_atom_site_label
_atom_site_type_symbol
_atom_site_fract_x
_atom_site_fract_y
_atom_site_fract_z
Nd1 Nd 0.0000 0.2899 0.0000
Nd2 Nd 0.0000 0.5000 0.5000
Nd3 Nd 0.0372 0.5186 0.1284
Dy1 Dy 0.0000 0.0000 0.3042
Tl1 Tl 0.0000 0.0000 0.1002
```

DFT total energy = -82.3 eV per formula unit
magnetic moment = 0.000 μB/f.u.
formation energy from the elements = 164 meV/atom

No. 2
The following is a DFT calculation (PBE) of a relaxed NdDyTl4 crystal.

Structure (CIF):
```
data_NdDyTl4
_symmetry_space_group_name_H-M 'F -4 3 m'
_symmetry_Int_Tables_number 216
_symmetry_space_group_name_Hall 'F -4 2 3'
_cell_length_a 8.818
_cell_length_b 8.818
_cell_length_c 8.818
_cell_angle_alpha 90.00
_cell_angle_beta 90.00
_cell_angle_gamma 90.00
loop_
_atom_site_label
_atom_site_type_symbol
_atom_site_fract_x
_atom_site_fract_y
_atom_site_fract_z
Nd1 Nd 0.000 0.000 0.000
Dy1 Dy 0.250 0.250 0.250
Tl1 Tl 0.125 0.125 0.625
```

energy above the most stable polymorph in this dataset = 159 meV per atom
DFT total energy = -19.4 eV per formula unit
magnetic moment = 0.000 μB/f.u.
formation energy from the elements = -86 meV/atom

No. 3
The following is a DFT calculation (PBE) of a relaxed NdDy2Tl crystal.

Structure (CIF):
```
data_NdDy2Tl
_symmetry_space_group_name_H-M 'F m -3 m'
_symmetry_Int_Tables_number 225
_symmetry_space_group_name_Hall '-F 4 2 3'
_cell_length_a 7.788
_cell_length_b 7.788
_cell_length_c 7.788
_cell_angle_alpha 90.00
_cell_angle_beta 90.00
_cell_angle_gamma 90.00
loop_
_atom_site_label
_atom_site_type_symbol
_atom_site_fract_x
_atom_site_fract_y
_atom_site_fract_z
Nd1 Nd 0.000 0.000 0.000
Dy1 Dy 0.250 0.250 0.250
Tl1 Tl 0.000 0.000 0.500
```

energy above the most stable polymorph in this dataset = 178 meV per atom
DFT total energy = -16.4 eV per formula unit
magnetic moment = 1.580 μB/f.u.
formation energy from the elements = -7 meV/atom

No. 4
The following is a DFT calculation (PBE) of a relaxed Nd6Dy3Tl crystal.

Structure (CIF):
```
data_Nd6Dy3Tl
_symmetry_space_group_name_H-M 'C m c 21'
_symmetry_Int_Tables_number 36
_cell_length_a 9.897
_cell_length_b 20.658
_cell_length_c 6.470
_cell_angle_alpha 90.00
_cell_angle_beta 90.00
_cell_angle_gamma 90.00
loop_
_symmetry_equiv_pos_as_xyz
'x,y,z'
'-x,-y,z+1/2'
'-x,y,z'
'x,-y,z+1/2'
'x+1/2,y+1/2,z'
'-x+1/2,-y+1/2,z+1/2'
'-x+1/2,y+1/2,z'
'x+1/2,-y+1/2,z+1/2'
loop_
_atom_site_label
_atom_site_type_symbol
_atom_site_fract_x
_atom_site_fract_y
_atom_site_fract_z
Nd1 Nd 0.000 0.019 0.000
Nd2 Nd 0.000 0.286 0.029
Nd3 Nd 0.182 0.445 0.254
Nd4 Nd 0.187 0.283 0.470
Dy1 Dy 0.000 0.412 0.727
Dy2 Dy 0.170 0.127 0.330
Tl1 Tl 0.000 0.154 0.751
```

energy above the most stable polymorph in this dataset = 5 meV per atom
DFT total energy = -44.5 eV per formula unit
magnetic moment = 0.000 μB/f.u.
formation energy from the elements = 24 meV/atom

No. 5
The following is a DFT calculation (PBE) of a relaxed Nd4DyTl3 crystal.

Structure (CIF):
```
data_Nd4DyTl3
_symmetry_space_group_name_H-M 'C 1 2/m 1'
_symmetry_Int_Tables_number 12
_cell_length_a 21.709
_cell_length_b 4.514
_cell_length_c 5.081
_cell_angle_alpha 90.00
_cell_angle_beta 103.43
_cell_angle_gamma 90.00
loop_
_symmetry_equiv_pos_as_xyz
'x,y,z'
'-x,-y,-z'
'-x,y,-z'
'x,-y,z'
'x+1/2,y+1/2,z'
'-x+1/2,-y+1/2,-z'
'-x+1/2,y+1/2,-z'
'x+1/2,-y+1/2,z'
loop_
_atom_site_label
_atom_site_type_symbol
_atom_site_fract_x
_atom_site_fract_y
_atom_site_fract_z
Nd1 Nd 0.118 0.000 0.118
Nd2 Nd 0.237 0.000 0.737
Dy1 Dy 0.000 0.000 0.500
Tl1 Tl 0.000 0.500 0.000
Tl2 Tl 0.123 0.500 0.623
```

energy above the most stable polymorph in this dataset = 0 meV per atom
DFT total energy = -32.8 eV per formula unit
magnetic moment = 0.000 μB/f.u.
formation energy from the elements = -259 meV/atom

No. 6
The following is a DFT calculation (PBE) of a relaxed Nd12Dy6Tl crystal.

Structure (CIF):
```
data_Nd12Dy6Tl
_symmetry_space_group_name_H-M 'R -3'
_symmetry_Int_Tables_number 148
_symmetry_space_group_name_Hall '-R 3'
_cell_length_a 12.0811
_cell_length_b 12.0811
_cell_length_c 15.3514
_cell_angle_alpha 90.00
_cell_angle_beta 90.00
_cell_angle_gamma 120.00
loop_
_atom_site_label
_atom_site_type_symbol
_atom_site_fract_x
_atom_site_fract_y
_atom_site_fract_z
Nd1 Nd 0.0062 0.8292 0.3129
Nd2 Nd 0.0467 0.2003 0.9156
Dy1 Dy 0.0236 0.5900 0.1897
Tl1 Tl 0.0000 0.0000 0.5000
```

DFT total energy = -85.7 eV per formula unit
magnetic moment = 0.000 μB/f.u.
formation energy from the elements = 76 meV/atom

No. 7
The following is a DFT calculation (PBE) of a relaxed Nd4Dy2Tl crystal.

Structure (CIF):
```
data_Nd4Dy2Tl
_symmetry_space_group_name_H-M 'C m m m'
_symmetry_Int_Tables_number 65
_symmetry_space_group_name_Hall '-C 2 2'
_cell_length_a 6.240
_cell_length_b 12.602
_cell_length_c 6.116
_cell_angle_alpha 90.00
_cell_angle_beta 90.00
_cell_angle_gamma 90.00
loop_
_atom_site_label
_atom_site_type_symbol
_atom_site_fract_x
_atom_site_fract_y
_atom_site_fract_z
Nd1 Nd 0.000 0.134 0.000
Nd2 Nd 0.000 0.332 0.500
Dy1 Dy 0.000 0.382 0.000
Tl1 Tl 0.000 0.000 0.500
```

DFT total energy = -27.8 eV per formula unit
magnetic moment = 0.000 μB/f.u.
formation energy from the elements = 412 meV/atom

No. 8
The following is a DFT calculation (PBE) of a relaxed Nd5DyTl5 crystal.

Structure (CIF):
```
data_Nd5DyTl5
_symmetry_space_group_name_H-M 'C 1 2/m 1'
_symmetry_Int_Tables_number 12
_cell_length_a 18.166
_cell_length_b 5.840
_cell_length_c 7.191
_cell_angle_alpha 90.00
_cell_angle_beta 113.17
_cell_angle_gamma 90.00
loop_
_symmetry_equiv_pos_as_xyz
'x,y,z'
'-x,-y,-z'
'-x,y,-z'
'x,-y,z'
'x+1/2,y+1/2,z'
'-x+1/2,-y+1/2,-z'
'-x+1/2,y+1/2,-z'
'x+1/2,-y+1/2,z'
loop_
_atom_site_label
_atom_site_type_symbol
_atom_site_fract_x
_atom_site_fract_y
_atom_site_fract_z
Nd1 Nd 0.000 0.000 0.000
Nd2 Nd 0.138 0.500 0.140
Nd3 Nd 0.189 0.500 0.690
Dy1 Dy 0.000 0.000 0.500
Tl1 Tl 0.000 0.500 0.500
Tl2 Tl 0.161 0.000 0.435
Tl3 Tl 0.161 0.000 0.887
```

DFT total energy = -42.1 eV per formula unit
magnetic moment = 0.426 μB/f.u.
formation energy from the elements = -162 meV/atom

No. 9
The following is a DFT calculation (PBE) of a relaxed Nd6DyTl5 crystal.

Structure (CIF):
```
data_Nd6DyTl5
_symmetry_space_group_name_H-M 'C 1 2/m 1'
_symmetry_Int_Tables_number 12
_cell_length_a 10.565
_cell_length_b 11.718
_cell_length_c 6.367
_cell_angle_alpha 90.00
_cell_angle_beta 103.32
_cell_angle_gamma 90.00
loop_
_symmetry_equiv_pos_as_xyz
'x,y,z'
'-x,-y,-z'
'-x,y,-z'
'x,-y,z'
'x+1/2,y+1/2,z'
'-x+1/2,-y+1/2,-z'
'-x+1/2,y+1/2,-z'
'x+1/2,-y+1/2,z'
loop_
_atom_site_label
_atom_site_type_symbol
_atom_site_fract_x
_atom_site_fract_y
_atom_site_fract_z
Nd1 Nd 0.217 0.000 0.212
Nd2 Nd 0.223 0.182 0.730
Dy1 Dy 0.000 0.500 0.000
Tl1 Tl 0.000 0.000 0.500
Tl2 Tl 0.000 0.211 0.000
Tl3 Tl 0.000 0.368 0.500
```

energy above the most stable polymorph in this dataset = 110 meV per atom
DFT total energy = -47.3 eV per formula unit
magnetic moment = 0.000 μB/f.u.
formation energy from the elements = -191 meV/atom

No. 10
The following is a DFT calculation (PBE) of a relaxed Nd2Dy5Tl crystal.

Structure (CIF):
```
data_Nd2Dy5Tl
_symmetry_space_group_name_H-M 'C 1 m 1'
_symmetry_Int_Tables_number 8
_cell_length_a 10.815
_cell_length_b 8.653
_cell_length_c 7.149
_cell_angle_alpha 90.00
_cell_angle_beta 131.36
_cell_angle_gamma 90.00
loop_
_symmetry_equiv_pos_as_xyz
'x,y,z'
'x,-y,z'
'x+1/2,y+1/2,z'
'x+1/2,-y+1/2,z'
loop_
_atom_site_label
_atom_site_type_symbol
_atom_site_fract_x
_atom_site_fract_y
_atom_site_fract_z
Nd1 Nd 0.000 0.000 0.000
Nd2 Nd 0.092 0.500 0.591
Dy1 Dy 0.125 0.500 0.124
Dy2 Dy 0.308 0.202 0.050
Dy3 Dy 0.308 0.202 0.564
Tl1 Tl 0.026 0.000 0.525
```

energy above the most stable polymorph in this dataset = 29 meV per atom
DFT total energy = -35.2 eV per formula unit
magnetic moment = 0.000 μB/f.u.
formation energy from the elements = -33 meV/atom

No. 11
The following is a DFT calculation (PBE) of a relaxed NdDy6Tl3 crystal.

Structure (CIF):
```
data_NdDy6Tl3
_symmetry_space_group_name_H-M 'P 1 21/m 1'
_symmetry_Int_Tables_number 11
_cell_length_a 10.166
_cell_length_b 5.215
_cell_length_c 11.405
_cell_angle_alpha 90.00
_cell_angle_beta 101.12
_cell_angle_gamma 90.00
loop_
_symmetry_equiv_pos_as_xyz
'x,y,z'
'-x,-y,-z'
'-x,y+1/2,-z'
'x,-y+1/2,z'
loop_
_atom_site_label
_atom_site_type_symbol
_atom_site_fract_x
_atom_site_fract_y
_atom_site_fract_z
Nd1 Nd 0.044 0.250 0.404
Dy1 Dy 0.088 0.750 0.906
Dy2 Dy 0.132 0.750 0.221
Dy3 Dy 0.191 0.250 0.724
Dy4 Dy 0.276 0.750 0.518
Dy5 Dy 0.355 0.250 0.316
Dy6 Dy 0.441 0.750 0.093
Tl1 Tl 0.228 0.250 0.039
Tl2 Tl 0.372 0.750 0.810
Tl3 Tl 0.463 0.250 0.612
```

DFT total energy = -41.4 eV per formula unit
magnetic moment = 0.001 μB/f.u.
formation energy from the elements = -194 meV/atom

No. 12
The following is a DFT calculation (PBE) of a relaxed NdDy2Tl crystal.

Structure (CIF):
```
data_NdDy2Tl
_symmetry_space_group_name_H-M 'P 4/m m m'
_symmetry_Int_Tables_number 123
_symmetry_space_group_name_Hall '-P 4 2'
_cell_length_a 4.926
_cell_length_b 4.926
_cell_length_c 4.852
_cell_angle_alpha 90.00
_cell_angle_beta 90.00
_cell_angle_gamma 90.00
loop_
_atom_site_label
_atom_site_type_symbol
_atom_site_fract_x
_atom_site_fract_y
_atom_site_fract_z
Nd1 Nd 0.000 0.000 0.000
Dy1 Dy 0.000 0.500 0.500
Tl1 Tl 0.500 0.500 0.000
```

energy above the most stable polymorph in this dataset = 0 meV per atom
DFT total energy = -17.1 eV per formula unit
magnetic moment = 0.530 μB/f.u.
formation energy from the elements = -184 meV/atom